## MnIBrN2 (PBE-GGA)

Data for a relaxed MnIBrN2 crystal.

Structure (POSCAR):
```
MnIBrN2
1.0
3.838 0.000 0.000
0.000 3.838 0.000
0.000 0.000 5.698
Mn I Br N
1 1 1 2
Cartesian
0.000 0.000 0.000
0.000 0.000 2.849
1.919 1.919 2.849
0.000 1.919 0.000
1.919 0.000 0.000
```

E above lowest polymorph (eV per atom): 0.000
Mass density (g/cm3): 5.73

***

## MnIBrN2 (PBE-GGA)

Data for a relaxed MnIBrN2 crystal.

Structure (POSCAR):
```
MnIBrN2
1.0
4.012 0.000 0.000
0.000 4.012 0.000
0.000 0.000 7.031
Mn I Br N
1 1 1 2
Cartesian
0.000 0.000 0.000
2.006 2.006 0.000
2.006 2.006 3.516
0.000 2.006 3.516
2.006 0.000 3.516
```

E above lowest polymorph (eV per atom): 0.937
Mass density (g/cm3): 4.25

***

## NaMnI2Br (PBE-GGA)

Data for a relaxed NaMnI2Br crystal.

Structure (POSCAR):
```
NaMnI2Br
1.0
5.833 0.000 0.000
0.000 5.833 0.000
0.000 0.000 5.189
Na Mn I Br
1 1 2 1
Cartesian
0.000 0.000 0.000
2.916 2.916 2.594
0.000 2.916 2.594
2.916 0.000 2.594
2.916 2.916 0.000
```

Mass density (g/cm3): 3.87

***

no.,formation energy (no corrections) (eV/atom),total energy (eV per cell)
1,1.077,-23.7
2,2.014,-19.0
3,-0.696,-18.7